(1)
Here is a relaxed LiInP crystal from the Alexandria database. Energies are from PBE.

- E_form: -0.0370 eV per atom
- Energy relative to the lowest polymorph listed for this composition: 1.14 eV per formula unit

Lattice parameters (Å, degrees): 6.418 6.228 3.251 78.37 71.88 29.74
Atoms (fractional coordinates):
In 0.019 0.019 0.981
P 0.676 0.676 0.324
Li 0.305 0.305 0.695

***

(2)
Here is a relaxed Li2InP crystal from the Alexandria database. Energies are from PBE.

- E_form: -0.2522 eV per atom
- Energy relative to the lowest polymorph listed for this composition: 0.36 eV per formula unit

Lattice parameters (Å, degrees): 3.614 3.553 5.483 90.00 90.00 90.00
Atoms (fractional coordinates):
P 0.000 0.000 0.488
Li 0.000 0.000 0.008
Li 0.500 0.500 0.264
In 0.500 0.500 0.740

***

(3)
Here is a relaxed Li2InP crystal from the Alexandria database. Energies are from PBE.

- E_form: -0.2545 eV per atom
- Energy relative to the lowest polymorph listed for this composition: 0.35 eV per formula unit

Lattice parameters (Å, degrees): 4.277 4.277 6.172 81.81 81.81 41.17
Atoms (fractional coordinates):
In 0.250 0.250 0.250
Li 0.015 0.015 0.928
P 0.750 0.750 0.750
Li 0.485 0.485 0.572

***

(4)
Here is a relaxed Li2InP crystal from the Alexandria database. Energies are from PBE.

- E_form: -0.2913 eV per atom
- Energy relative to the lowest polymorph listed for this composition: 0.20 eV per formula unit

Lattice parameters (Å, degrees): 4.613 4.613 4.613 60.00 60.00 60.00
Atoms (fractional coordinates):
In 0.500 0.500 0.500
Li 0.250 0.250 0.250
Li 0.750 0.750 0.750
P 0.000 0.000 0.000

***

(5)
Here is a relaxed LiInP crystal from the Alexandria database. Energies are from PBE.

- E_form: -0.3353 eV per atom
- Energy relative to the lowest polymorph listed for this composition: 0.25 eV per formula unit

Lattice parameters (Å, degrees): 4.044 4.044 8.870 90.00 90.00 120.00
Atoms (fractional coordinates):
P 0.667 0.333 0.716
P 0.000 0.000 0.107
In 0.333 0.667 0.246
Li 0.333 0.667 0.946
In 0.333 0.667 0.564
Li 0.000 0.000 0.811

***

(6)
Here is a relaxed LiInP crystal from the Alexandria database. Energies are from PBE.

- E_form: -0.0389 eV per atom
- Energy relative to the lowest polymorph listed for this composition: 1.14 eV per formula unit

Lattice parameters (Å, degrees): 3.449 3.449 6.010 90.00 90.00 120.00
Atoms (fractional coordinates):
In 0.000 0.000 0.970
Li 0.667 0.333 0.375
P 0.333 0.667 0.655

***

(7)
Here is a relaxed LiInP4 crystal from the Alexandria database. Energies are from PBE.

- E_form: 0.2521 eV per atom

Lattice parameters (Å, degrees): 5.489 5.489 5.489 60.00 60.00 60.00
Atoms (fractional coordinates):
P 0.174 0.609 0.609
Li 0.000 0.000 0.000
In 0.250 0.250 0.250
P 0.609 0.609 0.174
P 0.609 0.609 0.609
P 0.609 0.174 0.609

***

(8)
Here is a relaxed Li2InP crystal from the Alexandria database. Energies are from PBE.

- E_form: -0.2283 eV per atom
- Energy relative to the lowest polymorph listed for this composition: 0.45 eV per formula unit

Lattice parameters (Å, degrees): 4.950 4.950 2.938 90.00 90.00 109.27
Atoms (fractional coordinates):
Li 0.500 0.500 0.000
In 0.000 0.500 0.500
P 0.500 0.000 0.500
Li 0.000 0.000 0.000

***

(9)
Here is a relaxed Li4InP crystal from the Alexandria database. Energies are from PBE.

- E_form: -0.0280 eV per atom

Lattice parameters (Å, degrees): 5.244 5.244 5.244 60.00 60.00 60.00
Atoms (fractional coordinates):
Li 0.376 0.376 0.376
In 0.000 0.000 0.000
Li 0.376 0.873 0.376
Li 0.376 0.376 0.873
P 0.750 0.750 0.750
Li 0.873 0.376 0.376

***

(10)
Here is a relaxed Li2InP crystal from the Alexandria database. Energies are from PBE.

- E_form: -0.2640 eV per atom
- Energy relative to the lowest polymorph listed for this composition: 0.31 eV per formula unit

Lattice parameters (Å, degrees): 5.140 5.140 5.140 133.92 133.92 67.22
Atoms (fractional coordinates):
Li 0.250 0.750 0.500
P 0.500 0.500 0.000
Li 0.000 0.000 0.000
In 0.750 0.250 0.500

***

(11)
Here is a relaxed Li2In2P crystal from the Alexandria database. Energies are from PBE.

- E_form: 0.0256 eV per atom
- Energy relative to the lowest polymorph listed for this composition: 0.91 eV per formula unit

Lattice parameters (Å, degrees): 7.745 7.745 3.271 90.00 90.00 90.00
Atoms (fractional coordinates):
P 0.500 0.500 0.000
In 0.146 0.354 0.000
Li 0.345 0.155 0.500
In 0.354 0.854 0.000
P 0.000 0.000 0.000
In 0.646 0.146 0.000
Li 0.655 0.845 0.500
Li 0.845 0.345 0.500
In 0.854 0.646 0.000
Li 0.155 0.655 0.500

***

(12)
Here is a relaxed Li2InP crystal from the Alexandria database. Energies are from PBE.

- E_form: -0.3277 eV per atom
- Energy relative to the lowest polymorph listed for this composition: 0.06 eV per formula unit

Lattice parameters (Å, degrees): 3.822 2.985 6.567 63.49 90.00 90.00
Atoms (fractional coordinates):
Li 0.000 0.958 0.046
Li 0.000 0.542 0.454
P 0.500 0.250 0.250
In 0.500 0.750 0.750